HfTaSe2 GGA-PBEsol relaxed; energy relative to the elements, uncorrected = -0.32 eV/atom; space-group type = R-3m; total magnetic moment = 0.0 μB/f.u.; DFT total energy = -8.01 eV/atom
1.0
3.292 0.000 0.000
1.646 2.851 0.000
1.646 0.950 8.708
Hf Se Ta
1 2 1
Direct
0.500 0.500 0.500 Hf
0.903 0.903 0.290 Se
0.097 0.097 0.710 Se
0.000 0.000 0.000 Ta